[1]
A plane-wave DFT calculation with PBE-GGA was carried out for a geometry-optimized LiAcPm2 structure.

As for the final energy: -3.804 eV/atom. For the energy above the most stable polymorph in this dataset, the calculation gives 0.0 kJ per mole of atoms. Its formation energy is 0.3 eV/f.u.

It has space group P4/mmm (No. 123), with a = 3.8448 Å, b = 3.8448 Å, c = 8.9450 Å, α = 90.00°, β = 90.00° and γ = 90.00°. The inequivalent atoms are Li at (0.0000, 0.0000, 0.0000), Ac at (0.0000, 0.0000, 0.5000) and Pm at (0.5000, 0.5000, 0.2100).



[2]
A plane-wave DFT calculation with PBE-GGA was carried out for a geometry-optimized LiAc4Pm structure.

As for the final energy: -3.807 eV/atom. Its formation energy is 0.3 eV/f.u.

It has space group P4/mmm (No. 123), with a = 3.9539 Å, b = 3.9539 Å, c = 15.0403 Å, α = 90.00°, β = 90.00° and γ = 90.00°. The inequivalent atoms are Li at (0.0000, 0.0000, 0.0000), Ac at (0.0000, 0.0000, 0.3290), Ac at (0.5000, 0.5000, 0.1427) and Pm at (0.5000, 0.5000, 0.5000).